A relaxed ZnAs2Br crystal. Source: Alexandria, functional GGA-PBE.

## Properties
E (eV per atom): -2.971
V (Å³ per cell): 361
Spin magnetization (μB/atom): 0.0000
DOS(E_F) (states/eV per cell): 5.47
SG: I-42d, No. 122

Lattice parameters (Å, degrees): 3.9586 3.9586 23.0144 90.00 90.00 90.00
Sites, in units of the cell vectors:
Zn  0.0000  0.0000  0.0000
Zn  0.0000  0.5000  0.2500
Zn  0.5000  0.0000  0.7500
Zn  0.5000  0.5000  0.5000
As  0.1896  0.2500  0.1250
As  0.2500  0.6896  0.3750
As  0.2500  0.8104  0.8750
As  0.3104  0.2500  0.6250
As  0.6896  0.7500  0.6250
As  0.7500  0.1896  0.8750
As  0.7500  0.3104  0.3750
As  0.8104  0.7500  0.1250
Br  0.0000  0.0000  0.5000
Br  0.0000  0.5000  0.7500
Br  0.5000  0.0000  0.2500
Br  0.5000  0.5000  0.0000